## SrNb2Ni (GGA-PBE)

Data for a relaxed structure of SrNb2Ni.

Unit cell a=4.7804 b=4.7804 c=4.7804 alpha=60.00 beta=60.00 gamma=60.00
With the nearest neighbours (Å) after each atom.
Fractional positions:
Ni1 0.2500 0.2500 0.2500  4 Sr 2.93, 4 Nb 2.93
Nb1 0.7500 0.7500 0.7500  4 Sr 2.93, 4 Nb 2.93
Nb2 0.0000 0.0000 0.0000  4 Ni 2.93, 4 Nb 2.93
Sr1 0.5000 0.5000 0.5000  4 Ni 2.93, 4 Nb 2.93

Summary:
Symmetry: F-43m, No. 216
Crystal system: cubic
Raw total energy in eV per atom: -6.083